Record 1
Here is a relaxed MgTaTl2 crystal from Alexandria via LeMat-Bulk. Energies are from PBEsol.

Geometry as CIF:
```
data_MgTaTl2
_chemical_formula_sum 'Mg1 Ta1 Tl2'
_cell_length_a 5.166
_cell_length_b 5.166
_cell_length_c 3.131
_cell_angle_alpha 90.00
_cell_angle_beta 90.00
_cell_angle_gamma 90.00
_space_group_name_H-M_alt 'P 4/m m m'
_space_group_IT_number 123
_space_group_name_Hall '-P 4 2'
loop_
_atom_site_label
_atom_site_fract_x
_atom_site_fract_y
_atom_site_fract_z
Mg1 0.000 0.000 0.000
Ta1 0.500 0.500 0.000
Tl1 0.000 0.500 0.500
```

DOS at the Fermi energy in states/eV per atom: 0.521
E_tot in eV per formula unit: -18.03
Total magnetic moment in μB per cell: 0.00
Calculated density in g cm⁻³: 12.2
DFT formation energy in eV/atom: 0.37

Record 2
Here is a relaxed Li2Ti3ZnO8 crystal from Alexandria via LeMat-Bulk. Energies are from PBEsol.

Geometry as CIF:
```
data_Li2Ti3ZnO8
_chemical_formula_sum 'Li6 Ti9 Zn3 O24'
_cell_length_a 5.9157
_cell_length_b 5.9157
_cell_length_c 14.2930
_cell_angle_alpha 90.00
_cell_angle_beta 90.00
_cell_angle_gamma 120.00
_space_group_name_H-M_alt 'R 3 m'
_space_group_IT_number 160
_space_group_name_Hall 'R 3 -2"'
loop_
_atom_site_label
_atom_site_fract_x
_atom_site_fract_y
_atom_site_fract_z
Li1 0.0000 0.0000 0.0000
Li2 0.0000 0.0000 0.3817
Ti1 0.1695 0.3391 0.8325
Zn1 0.0000 0.0000 0.6168
O1 0.0000 0.0000 0.2416
O2 0.0000 0.0000 0.7578
O3 0.0271 0.5135 0.7631
O4 0.1805 0.3611 0.5744
```

Formation energy (no corrections) in eV/atom: -2.65
DOS at the Fermi energy in states/eV per atom: 0.000
Excess energy over the best structure of this formula in the dataset in kJ per mole of atoms: 3.37
E_tot in eV per formula unit: -109.55
Total magnetic moment in μB per cell: 0.00
Calculated density in g cm⁻³: 4.0

Record 3
Here is a relaxed Cd2NiHPb crystal from Alexandria via LeMat-Bulk. Energies are from PBEsol.

Geometry as CIF:
```
data_Cd2NiHPb
_chemical_formula_sum 'Cd2 Ni1 H1 Pb1'
_cell_length_a 5.598
_cell_length_b 5.598
_cell_length_c 4.848
_cell_angle_alpha 90.00
_cell_angle_beta 90.00
_cell_angle_gamma 90.00
_space_group_name_H-M_alt 'P 4/m m m'
_space_group_IT_number 123
_space_group_name_Hall '-P 4 2'
loop_
_atom_site_label
_atom_site_fract_x
_atom_site_fract_y
_atom_site_fract_z
Cd1 0.000 0.500 0.000
Ni1 0.000 0.000 0.500
H1 0.500 0.500 0.500
Pb1 0.000 0.000 0.000
```

DOS at the Fermi energy in states/eV per atom: 0.889
E_tot in eV per formula unit: -9.89
Total magnetic moment in μB per cell: 1.02
Calculated density in g cm⁻³: 5.4

Record 4
Here is a relaxed NiPRu2 crystal from Alexandria via LeMat-Bulk. Energies are from PBEsol.

Geometry as CIF:
```
data_NiPRu2
_chemical_formula_sum 'Ni1 P1 Ru2'
_cell_length_a 2.807
_cell_length_b 3.606
_cell_length_c 5.032
_cell_angle_alpha 90.00
_cell_angle_beta 102.92
_cell_angle_gamma 90.00
_space_group_name_H-M_alt 'P 1 2/m 1'
_space_group_IT_number 10
loop_
_space_group_symop_operation_xyz
'x,y,z'
'-x,-y,-z'
'-x,y,-z'
'x,-y,z'
loop_
_atom_site_label
_atom_site_fract_x
_atom_site_fract_y
_atom_site_fract_z
Ni1 0.000 0.000 0.000
P1 0.000 0.000 0.500
Ru1 0.362 0.500 0.739
```

DOS at the Fermi energy in states/eV per atom: 0.817
E_tot in eV per formula unit: -32.94
Total magnetic moment in μB per cell: 0.00
Calculated density in g cm⁻³: 9.8
DFT formation energy in eV/atom: -0.16

Record 5
Here is a relaxed Zn2FeIr crystal from Alexandria via LeMat-Bulk. Energies are from PBEsol.

Geometry as CIF:
```
data_Zn2FeIr
_chemical_formula_sum 'Zn2 Fe1 Ir1'
_cell_length_a 2.707
_cell_length_b 3.605
_cell_length_c 5.316
_cell_angle_alpha 90.00
_cell_angle_beta 90.00
_cell_angle_gamma 90.00
_space_group_name_H-M_alt 'P m m 2'
_space_group_IT_number 25
loop_
_space_group_symop_operation_xyz
'x,y,z'
'-x,-y,z'
'-x,y,z'
'x,-y,z'
loop_
_atom_site_label
_atom_site_fract_x
_atom_site_fract_y
_atom_site_fract_z
Zn1 0.000 0.000 0.000
Zn2 0.500 0.500 0.249
Fe1 0.000 0.000 0.507
Ir1 0.500 0.500 0.735
```

DOS at the Fermi energy in states/eV per atom: 0.683
E_tot in eV per formula unit: -22.07
Total magnetic moment in μB per cell: 2.36
Calculated density in g cm⁻³: 12.1
DFT formation energy in eV/atom: -0.03

Record 6
Here is a relaxed LaCuSb2 crystal from Alexandria via LeMat-Bulk. Energies are from PBEsol.

Geometry as CIF:
```
data_LaCuSb2
_chemical_formula_sum 'La4 Cu4 Sb8'
_cell_length_a 7.315
_cell_length_b 7.315
_cell_length_c 7.315
_cell_angle_alpha 90.00
_cell_angle_beta 90.00
_cell_angle_gamma 90.00
_space_group_name_H-M_alt 'F -4 3 m'
_space_group_IT_number 216
_space_group_name_Hall 'F -4 2 3'
loop_
_atom_site_label
_atom_site_fract_x
_atom_site_fract_y
_atom_site_fract_z
La1 0.000 0.000 0.000
Cu1 0.250 0.250 0.750
Sb1 0.000 0.000 0.500
Sb2 0.250 0.250 0.250
```

Formation energy (no corrections) in eV/atom: -0.20
DOS at the Fermi energy in states/eV per atom: 0.669
E_tot in eV per formula unit: -19.60
Total magnetic moment in μB per cell: 0.00
Calculated density in g cm⁻³: 7.6

Record 7
Here is a relaxed TmCu3Te3 crystal from Alexandria via LeMat-Bulk. Energies are from PBEsol.

Geometry as CIF:
```
data_TmCu3Te3
_chemical_formula_sum 'Tm6 Cu18 Te18'
_cell_length_a 7.2690
_cell_length_b 7.2690
_cell_length_c 20.5173
_cell_angle_alpha 90.00
_cell_angle_beta 90.00
_cell_angle_gamma 120.00
_space_group_name_H-M_alt 'R -3'
_space_group_IT_number 148
_space_group_name_Hall '-R 3'
loop_
_atom_site_label
_atom_site_fract_x
_atom_site_fract_y
_atom_site_fract_z
Tm1 0.0000 0.0000 0.1621
Cu1 0.0188 0.3109 0.9600
Te1 0.0092 0.3157 0.4194
```

Formation energy (no corrections) in eV/atom: -0.47
Excess energy over the best structure of this formula in the dataset in kJ per mole of atoms: 4.51
E_tot in eV per formula unit: -31.74
Total magnetic moment in μB per cell: 0.00
Calculated density in g cm⁻³: 7.9

Record 8
Here is a relaxed LiNiGeSb2 crystal from Alexandria via LeMat-Bulk. Energies are from PBEsol.

Geometry as CIF:
```
data_LiNiGeSb2
_chemical_formula_sum 'Li1 Ni1 Ge1 Sb2'
_cell_length_a 5.096
_cell_length_b 5.096
_cell_length_c 4.394
_cell_angle_alpha 90.00
_cell_angle_beta 90.00
_cell_angle_gamma 90.00
_space_group_name_H-M_alt 'P 4/m m m'
_space_group_IT_number 123
_space_group_name_Hall '-P 4 2'
loop_
_atom_site_label
_atom_site_fract_x
_atom_site_fract_y
_atom_site_fract_z
Li1 0.000 0.000 0.000
Ni1 0.500 0.500 0.500
Ge1 0.500 0.500 0.000
Sb1 0.000 0.500 0.500
```

Formation energy (no corrections) in eV/atom: 0.08
DOS at the Fermi energy in states/eV per atom: 0.438
E_tot in eV per formula unit: -21.77
Total magnetic moment in μB per cell: 0.00
Calculated density in g cm⁻³: 5.6

Record 9
Here is a relaxed WBr2Cl crystal from Alexandria via LeMat-Bulk. Energies are from PBEsol.

Geometry as CIF:
```
data_WBr2Cl
_chemical_formula_sum 'W3 Br6 Cl3'
_cell_length_a 3.1912
_cell_length_b 3.1912
_cell_length_c 29.6600
_cell_angle_alpha 90.00
_cell_angle_beta 90.00
_cell_angle_gamma 120.00
_space_group_name_H-M_alt 'R -3 m'
_space_group_IT_number 166
_space_group_name_Hall '-R 3 2"'
loop_
_atom_site_label
_atom_site_fract_x
_atom_site_fract_y
_atom_site_fract_z
W1 0.0000 0.0000 0.0000
Br1 0.0000 0.0000 0.3953
Cl1 0.0000 0.0000 0.5000
```

Formation energy (no corrections) in eV/atom: 0.18
DOS at the Fermi energy in states/eV per atom: 0.692
Excess energy over the best structure of this formula in the dataset in kJ per mole of atoms: 18.26
E_tot in eV per formula unit: -18.83
Total magnetic moment in μB per cell: 0.00
Calculated density in g cm⁻³: 7.2

Record 10
Here is a relaxed MnAl2Se crystal from Alexandria via LeMat-Bulk. Energies are from PBEsol.

Geometry as CIF:
```
data_MnAl2Se
_chemical_formula_sum 'Mn2 Al4 Se2'
_cell_length_a 3.822
_cell_length_b 3.822
_cell_length_c 8.127
_cell_angle_alpha 90.00
_cell_angle_beta 90.00
_cell_angle_gamma 90.00
_space_group_name_H-M_alt 'I 4/m m m'
_space_group_IT_number 139
_space_group_name_Hall '-I 4 2'
loop_
_atom_site_label
_atom_site_fract_x
_atom_site_fract_y
_atom_site_fract_z
Mn1 0.000 0.000 0.000
Al1 0.000 0.500 0.250
Se1 0.000 0.000 0.500
```

Formation energy (no corrections) in eV/atom: 0.13
DOS at the Fermi energy in states/eV per atom: 0.604
E_tot in eV per formula unit: -21.26
Total magnetic moment in μB per cell: 3.91
Calculated density in g cm⁻³: 5.3